! GaHg2H PBE-GGA optimized geometry; values from VASP
&SYSTEM
  ibrav = 0, nat = 8, ntyp = 3
/
ATOMIC_SPECIES
Ga 69.72 Ga.upf
Hg 200.59 Hg.upf
H 1.01 H.upf
CELL_PARAMETERS angstrom
5.089 0.000 0.000
-2.545 11.385 -1.757
0.000 -0.391 3.096
ATOMIC_POSITIONS crystal
Ga 0.397 0.794 0.548
Ga 0.603 0.206 0.452
Hg 0.785 0.571 0.321
Hg 0.215 0.429 0.679
Hg 0.936 0.871 0.626
Hg 0.064 0.129 0.374
H 0.354 0.709 0.962
H 0.646 0.291 0.038
! M_tot = 0.00 μB per formula unit
! Crystal system = monoclinic
! DFT total energy = -1.5753 eV per atom
! Polymorph energy (0 for the lowest one) = 0.000 eV per atom